Pr4Sm7Tl | PBE | optimized geometry

Values from the calculation:
For the size of the total moment, the calculation gives 0.0 μB per formula unit. As for the energy of formation: 129 meV/atom.

abc: 16.401 6.064 9.469
angles: 90.00 116.05 90.00
Space group C2/m (No. 12)
Inequivalent atoms, fractional coordinates:
Pr1 0.097 0.000 0.485 (multiplicity 4)
Pr2 0.229 0.000 0.273 (multiplicity 4)
Sm1 0.000 0.000 0.000 (multiplicity 2)
Sm2 0.066 0.500 0.723 (multiplicity 4)
Sm3 0.158 0.500 0.337 (multiplicity 4)
Sm4 0.219 0.000 0.898 (multiplicity 4)
Tl1 0.000 0.500 0.000 (multiplicity 2)